No. 1
An optimized crystal structure of Np2GaPd3. Source: Alexandria via LeMat-Bulk, functional GGA-PBE.

Results
Energy: -93.91 eV per cell
SG: No. 194

Cell lengths 5.5849, 5.5849, 8.2099 Å; angles 90.00, 90.00, 120.00 degrees
Element x y z (fractional)
Np: 0.3333 0.6667 0.0780
Np: 0.3333 0.6667 0.4220
Np: 0.6667 0.3333 0.5780
Np: 0.6667 0.3333 0.9220
Ga: 0.0000 0.0000 0.0000
Ga: 0.0000 0.0000 0.5000
Pd: 0.1700 0.3399 0.7500
Pd: 0.1700 0.8300 0.7500
Pd: 0.3399 0.1700 0.2500
Pd: 0.6601 0.8300 0.7500
Pd: 0.8300 0.1700 0.2500
Pd: 0.8300 0.6601 0.2500

No. 2
An optimized crystal structure of NpGaPd. Source: Alexandria via LeMat-Bulk, functional GGA-PBE.

Results
Energy: -43.81 eV per cell
SG: No. 129

Cell lengths 3.6086, 3.6086, 7.8146 Å; angles 90.00, 90.00, 90.00 degrees
Element x y z (fractional)
Np: 0.2500 0.7500 0.0000
Np: 0.7500 0.2500 0.0000
Ga: 0.2500 0.2500 0.3109
Ga: 0.7500 0.7500 0.6891
Pd: 0.2500 0.2500 0.6329
Pd: 0.7500 0.7500 0.3671

No. 3
An optimized crystal structure of Np3Ga12Pd. Source: Alexandria via LeMat-Bulk, functional GGA-PBE.

Results
Energy: -83.55 eV per cell
SG: No. 123

Cell lengths 4.2553, 4.2553, 16.4523 Å; angles 90.00, 90.00, 90.00 degrees
Element x y z (fractional)
Np: 0.0000 0.0000 0.0000
Np: 0.0000 0.0000 0.2631
Np: 0.0000 0.0000 0.7369
Ga: 0.0000 0.5000 0.1313
Ga: 0.0000 0.5000 0.3917
Ga: 0.0000 0.5000 0.6083
Ga: 0.0000 0.5000 0.8687
Ga: 0.5000 0.0000 0.1313
Ga: 0.5000 0.0000 0.3917
Ga: 0.5000 0.0000 0.6083
Ga: 0.5000 0.0000 0.8687
Ga: 0.5000 0.5000 0.0000
Ga: 0.5000 0.5000 0.2562
Ga: 0.5000 0.5000 0.5000
Ga: 0.5000 0.5000 0.7438
Pd: 0.0000 0.0000 0.5000

No. 4
An optimized crystal structure of NpGa4Pd2Pt. Source: Alexandria via LeMat-Bulk, functional GGA-PBE.

Results
Energy: -44.90 eV per cell
SG: No. 166

Cell lengths 9.0634, 9.0634, 9.0634 Å; angles 27.53, 27.53, 27.53 degrees
Element x y z (fractional)
Np: 0.0000 0.0000 0.0000
Ga: 0.1291 0.1291 0.1291
Ga: 0.3970 0.3970 0.3970
Ga: 0.6030 0.6030 0.6030
Ga: 0.8709 0.8709 0.8709
Pd: 0.2386 0.2386 0.2386
Pd: 0.7614 0.7614 0.7614
Pt: 0.5000 0.5000 0.5000

No. 5
An optimized crystal structure of NpGa4PdPt2. Source: Alexandria via LeMat-Bulk, functional GGA-PBE.

Results
Energy: -46.21 eV per cell
SG: No. 166

Cell lengths 8.9848, 8.9848, 8.9848 Å; angles 27.81, 27.81, 27.81 degrees
Element x y z (fractional)
Np: 0.0000 0.0000 0.0000
Ga: 0.1293 0.1293 0.1293
Ga: 0.3964 0.3964 0.3964
Ga: 0.6036 0.6036 0.6036
Ga: 0.8707 0.8707 0.8707
Pd: 0.5000 0.5000 0.5000
Pt: 0.2388 0.2388 0.2388
Pt: 0.7612 0.7612 0.7612

No. 6
An optimized crystal structure of NpGaPdRh. Source: Alexandria via LeMat-Bulk, functional GGA-PBE.

Results
Energy: -29.97 eV per cell
SG: No. 216

Cell lengths 4.6603, 4.6603, 4.6603 Å; angles 60.00, 60.00, 60.00 degrees
Element x y z (fractional)
Np: 0.0000 0.0000 0.0000
Ga: 0.5000 0.5000 0.5000
Pd: 0.7500 0.7500 0.7500
Rh: 0.2500 0.2500 0.2500

> Which of these has the lowest energy?

Np2GaPd3

> The lowest energy belongs to which entry?

Np2GaPd3

Repeat the second record exactly.
An optimized crystal structure of NpGaPd. Source: Alexandria via LeMat-Bulk, functional GGA-PBE.

Results
Energy: -43.81 eV per cell
SG: No. 129

Cell lengths 3.6086, 3.6086, 7.8146 Å; angles 90.00, 90.00, 90.00 degrees
Element x y z (fractional)
Np: 0.2500 0.7500 0.0000
Np: 0.7500 0.2500 0.0000
Ga: 0.2500 0.2500 0.3109
Ga: 0.7500 0.7500 0.6891
Pd: 0.2500 0.2500 0.6329
Pd: 0.7500 0.7500 0.3671